Computed, not measured: a relaxed structure of Ta2CoRe at the PBE level of DFT.

```
data_Ta2CoRe
_chemical_formula_sum 'Ta2 Co1 Re1'
_symmetry_space_group_name_H-M 'P 1'
_symmetry_Int_Tables_number 1
_cell_length_a 9.4298
_cell_length_b 9.4298
_cell_length_c 9.4298
_cell_angle_alpha 17.08
_cell_angle_beta 17.08
_cell_angle_gamma 17.08
loop_
_symmetry_equiv_pos_as_xyz
'x,y,z'
loop_
_atom_site_label
_atom_site_type_symbol
_atom_site_fract_x
_atom_site_fract_y
_atom_site_fract_z
Ta1 Ta 0.0000 0.0000 0.0000
Ta2 Ta 0.2385 0.2385 0.2385
Co1 Co 0.7457 0.7457 0.7457
Re1 Re 0.4834 0.4834 0.4834
```

## Properties
space-group type	R3m
energy relative to the elements	0.23	eV/atom
M_tot	0.88	Bohr magnetons per cell